Computed, not measured: a geometry-optimized SrLi8Mg2 structure at the GGA-PBE level of DFT.

Properties
Calculated formation energy ... 0.23 eV per atom
DFT total energy ... -1.608 eV per atom

Structure (CIF):
```
data_SrLi8Mg2
_cell_length_a 22.162
_cell_length_b 5.420
_cell_length_c 5.420
_cell_angle_alpha 90.00
_cell_angle_beta 104.03
_cell_angle_gamma 90.00
_space_group_name_H-M_alt 'C 1 2/m 1'
_space_group_IT_number 12
loop_
_space_group_symop_operation_xyz
'x,y,z'
'-x,-y,-z'
'-x,y,-z'
'x,-y,z'
'x+1/2,y+1/2,z'
'-x+1/2,-y+1/2,-z'
'-x+1/2,y+1/2,-z'
'x+1/2,-y+1/2,z'
loop_
_atom_site_label
_atom_site_type_symbol
_atom_site_fract_x
_atom_site_fract_y
_atom_site_fract_z
_atom_site_occupancy
Sr1 Sr 0.000 0.000 0.000 1
Li1 Li 0.141 0.250 0.391 1
Li2 Li 0.141 0.250 0.891 1
Mg1 Mg 0.250 0.000 0.751 1
```